No. 1
Computed, not measured: an optimized crystal structure of Y6Bi3N at the GGA-PBE level of DFT.

Computed properties:
Crystal system   orthorhombic
Raw total energy   -6.60 eV/atom
Space-group type   Cmc2_1
Formation energy from raw total energies   -7.2 eV per formula unit

The structure in POSCAR format:
```
Y6Bi3N
1.0
5.983 -7.270 0.000
5.983 7.270 0.000
0.000 0.000 7.123
Y Bi N
12 6 2
Direct
0.058 0.942 0.500 Y
0.106 0.585 0.474 Y
0.231 0.769 0.913 Y
0.297 0.375 0.944 Y
0.375 0.297 0.444 Y
0.415 0.894 0.474 Y
0.585 0.106 0.974 Y
0.625 0.703 0.944 Y
0.703 0.625 0.444 Y
0.769 0.231 0.413 Y
0.894 0.415 0.974 Y
0.942 0.058 0.000 Y
0.064 0.268 0.648 Bi
0.268 0.064 0.148 Bi
0.392 0.608 0.250 Bi
0.608 0.392 0.750 Bi
0.732 0.936 0.648 Bi
0.936 0.732 0.148 Bi
0.200 0.800 0.607 N
0.800 0.200 0.107 N
```

=====

No. 2
Computed, not measured: an optimized crystal structure of Nb12Sn3Mo at the GGA-PBE level of DFT.

Computed properties:
Formation energy from the elements   -16.2 kJ per mole of atoms
Crystal system   orthorhombic
Raw total energy   -9.15 eV/atom
Space-group type   Pmmm

The structure in POSCAR format:
```
Nb12Sn3Mo
1.0
5.303 0.000 0.000
0.000 5.312 0.000
0.000 0.000 10.584
Nb Sn Mo
12 3 1
Direct
0.000 0.000 0.119 Nb
0.000 0.000 0.372 Nb
0.000 0.000 0.628 Nb
0.000 0.000 0.881 Nb
0.248 0.500 0.500 Nb
0.258 0.500 0.000 Nb
0.500 0.244 0.243 Nb
0.500 0.244 0.757 Nb
0.500 0.756 0.243 Nb
0.500 0.756 0.757 Nb
0.742 0.500 0.000 Nb
0.752 0.500 0.500 Nb
0.000 0.500 0.250 Sn
0.000 0.500 0.750 Sn
0.500 0.000 0.500 Sn
0.500 0.000 0.000 Mo
```

=====

No. 3
Computed, not measured: an optimized crystal structure of YAgTeN2 at the GGA-PBE level of DFT.

Computed properties:
Crystal system   tetragonal
Raw total energy   -4.76 eV/atom
Space-group type   P4/mmm
Formation energy from raw total energies   5.3 eV per formula unit

The structure in POSCAR format:
```
YAgTeN2
1.0
4.318 0.000 0.000
0.000 4.318 0.000
0.000 0.000 5.316
Y Ag Te N
1 1 1 2
Direct
0.000 0.000 0.000 Y
0.500 0.500 0.500 Ag
0.500 0.500 0.000 Te
0.000 0.500 0.500 N
0.500 0.000 0.500 N
```

=====

No. 4
Computed, not measured: an optimized crystal structure of Cu5SiAu2 at the GGA-PBE level of DFT.

Computed properties:
Crystal system   tetragonal
Raw total energy   -4.10 eV/atom
Space-group type   I4/mmm
Formation energy from raw total energies   -0.3 eV per formula unit

The structure in POSCAR format:
```
Cu5SiAu2
1.0
-2.083 2.083 6.274
2.083 -2.083 6.274
2.083 2.083 -6.274
Cu Si Au
5 1 2
Direct
0.000 0.000 0.000 Cu
0.108 0.608 0.500 Cu
0.392 0.892 0.500 Cu
0.608 0.108 0.500 Cu
0.892 0.392 0.500 Cu
0.500 0.500 0.000 Si
0.248 0.248 0.000 Au
0.752 0.752 0.000 Au
```